(1)
## TiSnAs2Ru (PBE)

Data for TiSnAs2Ru after structural relaxation.

```
data_TiSnAs2Ru
_cell_length_a 5.1010
_cell_length_b 5.1010
_cell_length_c 4.8127
_cell_angle_alpha 90.00
_cell_angle_beta 90.00
_cell_angle_gamma 90.00
_symmetry_space_group_name_H-M 'P 1'
_symmetry_Int_Tables_number 1
loop_
_symmetry_equiv_pos_as_xyz
'x,y,z'
loop_
_atom_site_label
_atom_site_fract_x
_atom_site_fract_y
_atom_site_fract_z
Ti1 0.0000 0.0000 0.0000
Sn1 0.5000 0.5000 0.5000
As1 0.0000 0.5000 0.5000
As2 0.5000 0.0000 0.5000
Ru1 0.5000 0.5000 0.0000
```

ΔE_f	1.352	eV/atom
V	125.2	Å³ per cell
N(E_F)	5.48	states/eV/cell
crystal system	tetragonal

***

(2)
## NaIrN (PBE)

Data for NaIrN after structural relaxation.

```
data_NaIrN
_cell_length_a 3.2014
_cell_length_b 3.2014
_cell_length_c 5.0517
_cell_angle_alpha 90.00
_cell_angle_beta 90.00
_cell_angle_gamma 120.00
_symmetry_space_group_name_H-M 'P 1'
_symmetry_Int_Tables_number 1
loop_
_symmetry_equiv_pos_as_xyz
'x,y,z'
loop_
_atom_site_label
_atom_site_fract_x
_atom_site_fract_y
_atom_site_fract_z
Na1 0.0000 0.0000 0.0000
Ir1 0.6667 0.3333 0.5053
N1 0.3333 0.6667 0.6430
```

V	44.8	Å³ per cell
N(E_F)	1.20	states/eV/cell
relative energy among the computed polymorphs	0.00	eV per formula unit
crystal system	trigonal
energy relative to the elements, uncorrected	0.191	eV/atom

***

(3)
## BaDyRuO6 (PBE)

Data for BaDyRuO6 after structural relaxation.

```
data_BaDyRuO6
_cell_length_a 5.5991
_cell_length_b 5.5991
_cell_length_c 5.6498
_cell_angle_alpha 90.00
_cell_angle_beta 90.00
_cell_angle_gamma 120.00
_symmetry_space_group_name_H-M 'P 1'
_symmetry_Int_Tables_number 1
loop_
_symmetry_equiv_pos_as_xyz
'x,y,z'
loop_
_atom_site_label
_atom_site_fract_x
_atom_site_fract_y
_atom_site_fract_z
Ba1 0.0000 0.0000 0.0000
Dy1 0.3333 0.6667 0.5000
Ru1 0.6667 0.3333 0.5000
O1 0.3974 0.0432 0.6952
O2 0.3974 0.3542 0.3048
O3 0.6458 0.0432 0.3048
O4 0.6458 0.6026 0.6952
O5 0.9568 0.3542 0.6952
O6 0.9568 0.6026 0.3048
```

V	153.4	Å³ per cell
N(E_F)	5.04	states/eV/cell
crystal system	trigonal
energy relative to the elements, uncorrected	-1.946	eV/atom

***

(4)
## HoTlHgCl6 (PBE)

Data for HoTlHgCl6 after structural relaxation.

```
data_HoTlHgCl6
_cell_length_a 6.9944
_cell_length_b 6.9944
_cell_length_c 14.0034
_cell_angle_alpha 90.00
_cell_angle_beta 90.00
_cell_angle_gamma 120.00
_symmetry_space_group_name_H-M 'P 1'
_symmetry_Int_Tables_number 1
loop_
_symmetry_equiv_pos_as_xyz
'x,y,z'
loop_
_atom_site_label
_atom_site_fract_x
_atom_site_fract_y
_atom_site_fract_z
Ho1 0.3333 0.6667 0.2500
Ho2 0.6667 0.3333 0.7500
Tl1 0.0000 0.0000 0.0000
Tl2 0.0000 0.0000 0.5000
Hg1 0.3333 0.6667 0.7500
Hg2 0.6667 0.3333 0.2500
Cl1 0.0080 0.3768 0.1406
Cl2 0.0080 0.6313 0.3594
Cl3 0.3687 0.3768 0.3594
Cl4 0.3687 0.9920 0.1406
Cl5 0.3768 0.0080 0.6406
Cl6 0.3768 0.3687 0.8594
Cl7 0.6232 0.6313 0.1406
Cl8 0.6232 0.9920 0.3594
Cl9 0.6313 0.0080 0.8594
Cl10 0.6313 0.6232 0.6406
Cl11 0.9920 0.3687 0.6406
Cl12 0.9920 0.6232 0.8594
```

V	593.3	Å³ per cell
N(E_F)	0.00	states/eV/cell
crystal system	trigonal
energy relative to the elements, uncorrected	-1.443	eV/atom

***

(5)
## Pa2GaRu3 (PBE)

Data for Pa2GaRu3 after structural relaxation.

```
data_Pa2GaRu3
_cell_length_a 6.4563
_cell_length_b 6.4563
_cell_length_c 7.8557
_cell_angle_alpha 113.24
_cell_angle_beta 113.24
_cell_angle_gamma 49.48
_symmetry_space_group_name_H-M 'P 1'
_symmetry_Int_Tables_number 1
loop_
_symmetry_equiv_pos_as_xyz
'x,y,z'
loop_
_atom_site_label
_atom_site_fract_x
_atom_site_fract_y
_atom_site_fract_z
Pa1 0.1609 0.1925 0.0947
Pa2 0.1925 0.1609 0.5947
Pa3 0.8075 0.8391 0.4053
Pa4 0.8391 0.8075 0.9053
Ga1 0.3140 0.6860 0.7500
Ga2 0.6860 0.3140 0.2500
Ru1 0.1685 0.8315 0.2500
Ru2 0.3566 0.3754 0.4155
Ru3 0.3754 0.3566 0.9155
Ru4 0.6246 0.6434 0.0845
Ru5 0.6434 0.6246 0.5845
Ru6 0.8315 0.1685 0.7500
```

ΔE_f	-0.524	eV/atom
V	224.2	Å³ per cell
N(E_F)	7.54	states/eV/cell
relative energy among the computed polymorphs	0.04	eV per formula unit
crystal system	monoclinic

***

(6)
## RbMnPt (PBE)

Data for RbMnPt after structural relaxation.

```
data_RbMnPt
_cell_length_a 4.5249
_cell_length_b 5.1033
_cell_length_c 9.6641
_cell_angle_alpha 94.99
_cell_angle_beta 90.23
_cell_angle_gamma 90.00
_symmetry_space_group_name_H-M 'P 1'
_symmetry_Int_Tables_number 1
loop_
_symmetry_equiv_pos_as_xyz
'x,y,z'
loop_
_atom_site_label
_atom_site_fract_x
_atom_site_fract_y
_atom_site_fract_z
Rb1 0.2474 0.2790 0.2044
Rb2 0.7526 0.7210 0.7956
Mn1 0.2507 0.1494 0.5591
Mn2 0.7493 0.8506 0.4409
Pt1 0.2500 0.6552 0.5083
Pt2 0.7500 0.3448 0.4917
```

ΔE_f	0.032	eV/atom
V	222.3	Å³ per cell
N(E_F)	4.26	states/eV/cell
relative energy among the computed polymorphs	0.00	eV per formula unit
crystal system	triclinic